(1)
A plane-wave DFT calculation with PBE was carried out for a relaxed Sr7SeI12 crystal.

Cell: 16.8425 16.8425 11.7386 Å, 90.00 90.00 120.00°
Last column: nearest neighbours and their distance in Å.
Space group R-3 (No. 148, hexagonal axes)
Symmetry-distinct sites (fractional):
Sr 0.0000 0.0000 0.0000 (multiplicity 3)  6 I 3.31
Sr 0.0438 0.1756 0.3398 (multiplicity 18)  1 Se 3.26, 5 I 3.27-3.34
Se 0.0000 0.0000 0.5000 (multiplicity 3)  6 Sr 3.26
I 0.0263 0.5858 0.1583 (multiplicity 18)  3 Sr 3.27-3.34
I 0.0446 0.1726 0.8273 (multiplicity 18)  3 Sr 3.27-3.31

Results
- Total energy: -3.41 eV/atom
- Volume: 48.063 Å³/atom


(2)
A plane-wave DFT calculation with PBE was carried out for a relaxed BaTl2Ru crystal.

Cell: 3.4056 4.5519 14.7391 Å, 90.00 90.00 90.00°
Last column: nearest neighbours and their distance in Å.
Space group Imm2 (No. 44)
Symmetry-distinct sites (fractional):
Ba 0.0000 0.0000 0.0000 (multiplicity 2)  2 Ru 3.30, 2 Ba 3.41, 6 Tl 3.57-3.63
Tl 0.0000 0.0000 0.3469 (multiplicity 2)  2 Ru 2.85
Tl 0.0000 0.5000 0.1868 (multiplicity 2)  4 Ru 2.84
Ru 0.0000 0.5000 0.6921 (multiplicity 2)  6 Tl 2.84-2.85

Results
- Calculated formation energy: 0.19 eV/atom
- Volume: 28.561 Å³/atom


(3)
A plane-wave DFT calculation with PBE was carried out for a relaxed CsPaSbO5 crystal.

Cell: 8.0774 10.6937 8.3410 Å, 90.00 116.18 90.00°
Last column: nearest neighbours and their distance in Å.
Space group C2/c (No. 15)
Symmetry-distinct sites (fractional):
Cs 0.0000 0.1711 0.2500 (multiplicity 4)  7 O 3.00-3.11
Pa 0.0000 0.5000 0.0000 (multiplicity 4)  6 O 2.15-2.23
Sb 0.0000 0.1900 0.7500 (multiplicity 4)  4 O 2.03
O 0.0000 0.4518 0.2500 (multiplicity 4)  2 Pa 2.15
O 0.0808 0.3071 0.6060 (multiplicity 8)  1 Sb 2.03, 1 Pa 2.23
O 0.2115 0.0723 0.8921 (multiplicity 8)  1 Sb 2.03, 1 Pa 2.23

Results
- Total energy: -7.21 eV/atom
- Volume: 20.205 Å³/atom


(4)
A plane-wave DFT calculation with PBE was carried out for a relaxed PrSmGa2Rh2 crystal.

Cell: 4.3824 4.3824 7.6783 Å, 90.00 90.00 120.00°
Last column: nearest neighbours and their distance in Å.
Space group P-3m1 (No. 164)
Symmetry-distinct sites (fractional):
Pr 0.0000 0.0000 0.0000 (multiplicity 1)  6 Ga 3.21, 6 Rh 3.26
Sm 0.0000 0.0000 0.5000 (multiplicity 1)  6 Rh 3.10, 6 Ga 3.14
Ga 0.3333 0.6667 0.2575 (multiplicity 2)  3 Rh 2.53
Rh 0.3333 0.6667 0.7324 (multiplicity 2)  3 Ga 2.53

Results
- Calculated formation energy: -0.77 eV/atom
- Volume: 21.285 Å³/atom


(5)
A plane-wave DFT calculation with PBE was carried out for a relaxed GaIrPb3 crystal.

Cell: 5.2803 5.2803 5.2803 Å, 90.00 90.00 90.00°
Last column: nearest neighbours and their distance in Å.
Space group Pm-3m (No. 221)
Symmetry-distinct sites (fractional):
Ga 0.0000 0.0000 0.0000 (multiplicity 1)  6 Pb 2.64
Ir 0.5000 0.5000 0.5000 (multiplicity 1)  12 Pb 3.73
Pb 0.0000 0.0000 0.5000 (multiplicity 3)  2 Ga 2.64

Results
- Calculated formation energy: 1.11 eV/atom
- Volume: 29.444 Å³/atom
- Relative energy among the computed polymorphs: 746 meV/atom


(6)
A plane-wave DFT calculation with PBE was carried out for a relaxed Pm2ZnCo2 crystal.

Cell: 9.5875 5.4485 7.7165 Å, 90.00 104.76 90.00°
Last column: nearest neighbours and their distance in Å.
Space group C2/c (No. 15)
Symmetry-distinct sites (fractional):
Pm 0.1447 0.1535 0.1452 (multiplicity 8)  6 Co 2.90-3.06, 2 Zn 3.15-3.23
Zn 0.0000 0.3693 0.7500 (multiplicity 4)  4 Co 2.61-2.62
Co 0.1465 0.3493 0.5083 (multiplicity 8)  1 Co 2.29

Results
- Calculated formation energy: -0.19 eV/atom
- Volume: 19.489 Å³/atom
- Relative energy among the computed polymorphs: 5 meV/atom


(7)
A plane-wave DFT calculation with PBE was carried out for a relaxed AcHoMg2Hg4 crystal.

Cell: 5.1362 5.1362 26.6677 Å, 90.00 90.00 120.00°
Last column: nearest neighbours and their distance in Å.
Space group R-3m (No. 166, hexagonal axes)
Symmetry-distinct sites (fractional):
Ac 0.0000 0.0000 0.0000 (multiplicity 3)  8 Hg 3.28-3.41
Ho 0.0000 0.0000 0.5000 (multiplicity 3)  8 Hg 3.04-3.14
Mg 0.0000 0.0000 0.2440 (multiplicity 6)  7 Hg 3.10-3.14
Hg 0.0000 0.0000 0.1280 (multiplicity 6)  4 Mg 3.10-3.14, 3 Ho 3.14, 1 Ac 3.41
Hg 0.0000 0.0000 0.3860 (multiplicity 6)  1 Ho 3.04, 3 Mg 3.12, 3 Ac 3.28

Results
- Calculated formation energy: -0.43 eV/atom
- Volume: 25.385 Å³/atom


(8)
A plane-wave DFT calculation with PBE was carried out for a relaxed ScNb3Ga crystal.

Cell: 4.7365 4.7365 4.7365 Å, 90.00 90.00 90.00°
Last column: nearest neighbours and their distance in Å.
Space group Pm-3m (No. 221)
Symmetry-distinct sites (fractional):
Sc 0.0000 0.0000 0.0000 (multiplicity 1)  6 Nb 2.37
Nb 0.0000 0.0000 0.5000 (multiplicity 3)  2 Sc 2.37
Ga 0.5000 0.5000 0.5000 (multiplicity 1)  12 Nb 3.35

Results
- Calculated formation energy: 1.50 eV/atom
- Volume: 21.252 Å³/atom
- Relative energy among the computed polymorphs: 672 meV/atom


(9)
A plane-wave DFT calculation with PBE was carried out for a relaxed ThGeIrO crystal.

Cell: 4.1439 4.1439 8.0570 Å, 90.00 90.00 90.00°
Last column: nearest neighbours and their distance in Å.
Space group P4/nmm (No. 129, origin choice 2)
Symmetry-distinct sites (fractional):
Th 0.2500 0.2500 0.1566 (multiplicity 2)  4 O 2.43
Ge 0.2500 0.2500 0.6702 (multiplicity 2)  4 Ir 2.48
Ir 0.2500 0.7500 0.5000 (multiplicity 2)  4 Ge 2.48
O 0.2500 0.7500 0.0000 (multiplicity 2)  4 Th 2.43

Results
- Total energy: -8.34 eV/atom
- Volume: 17.294 Å³/atom


(10)
A plane-wave DFT calculation with PBE was carried out for a relaxed BaGa2CuIr crystal.

Cell: 4.7933 4.7933 5.1026 Å, 90.00 90.00 90.00°
Last column: nearest neighbours and their distance in Å.
Space group P4/mmm (No. 123)
Symmetry-distinct sites (fractional):
Ba 0.0000 0.0000 0.0000 (multiplicity 1)  4 Cu 3.39, 8 Ga 3.50
Ga 0.0000 0.5000 0.5000 (multiplicity 2)  2 Ir 2.40
Cu 0.5000 0.5000 0.0000 (multiplicity 1)  2 Ir 2.55
Ir 0.5000 0.5000 0.5000 (multiplicity 1)  4 Ga 2.40, 2 Cu 2.55

Results
- Calculated formation energy: -0.36 eV/atom
- Volume: 23.447 Å³/atom


(11)
A plane-wave DFT calculation with PBE was carried out for a relaxed CrTc2Ag crystal.

Cell: 2.7919 3.8217 5.6126 Å, 90.00 90.00 90.00°
Last column: nearest neighbours and their distance in Å.
Space group Pmm2 (No. 25)
Symmetry-distinct sites (fractional):
Cr 0.0000 0.0000 0.0000 (multiplicity 1)  1 Tc 2.34
Tc 0.0000 0.0000 0.4170 (multiplicity 1)  1 Cr 2.34
Tc 0.5000 0.5000 0.2036 (multiplicity 1)  4 Cr 2.63, 6 Tc 2.65-2.79, 2 Ag 2.76-2.86
Ag 0.5000 0.5000 0.7127 (multiplicity 1)  6 Tc 2.76-2.89, 2 Ag 2.79, 4 Cr 2.86

Results
- Calculated formation energy: 0.38 eV/atom
- Volume: 14.971 Å³/atom
- Relative energy among the computed polymorphs: 77 meV/atom


(12)
A plane-wave DFT calculation with PBE was carried out for a relaxed CeEr3Co crystal.

Cell: 5.2342 5.2342 5.2342 Å, 90.00 90.00 90.00°
Last column: nearest neighbours and their distance in Å.
Space group Pm-3m (No. 221)
Symmetry-distinct sites (fractional):
Ce 0.0000 0.0000 0.0000 (multiplicity 1)  12 Er 3.70
Er 0.0000 0.5000 0.5000 (multiplicity 3)  2 Co 2.62
Co 0.5000 0.5000 0.5000 (multiplicity 1)  6 Er 2.62

Results
- Calculated formation energy: 0.03 eV/atom
- Volume: 28.681 Å³/atom


> What is the volume in the eighth record?

21.252 Å³/atom


> Number 12 is which compound?

CeEr3Co


> The lowest volume belongs to which entry?

CrTc2Ag